Computed, not measured: a geometry-optimized CsFeBiSe3 structure at the GGA-PBE level of DFT.

a b c (Å): 8.244 8.244 11.493
angles (deg): 90.00 90.00 150.07
Sites, in units of the cell vectors:
1 Cs 0.237 0.763 0.750
2 Cs 0.763 0.237 0.250
3 Fe 0.041 0.959 0.250
4 Fe 0.959 0.041 0.750
5 Bi 0.500 0.500 0.000
6 Bi 0.500 0.500 0.500
7 Se 0.120 0.880 0.069
8 Se 0.120 0.880 0.431
9 Se 0.454 0.546 0.250
10 Se 0.546 0.454 0.750
11 Se 0.880 0.120 0.569
12 Se 0.880 0.120 0.931

E_tot, eV/cell: -53.9
Total magnetic moment, μB per cell: 7.99
Crystal system: orthorhombic